No. 1
This record from Alexandria via LeMat-Bulk describes a geometry-optimized Ga2PC structure. The functional is GGA-PBE.

```
Ga2PC
1.0
5.150 0.000 0.000
0.000 5.150 0.000
2.575 2.575 4.921
P C Ga
2 2 4
Direct
0.000 0.000 0.000 P
0.750 0.250 0.500 P
0.500 0.500 0.000 C
0.250 0.750 0.500 C
0.561 0.125 0.250 Ga
0.189 0.625 0.250 Ga
0.375 0.439 0.750 Ga
0.875 0.811 0.750 Ga
```

E above lowest polymorph	0	meV per atom
calculated formation energy	287.2	meV/atom
SG	I-42d

No. 2
This record from Alexandria via LeMat-Bulk describes a geometry-optimized GaP2C structure. The functional is GGA-PBE.

```
GaP2C
1.0
5.426 0.000 0.000
0.000 5.426 0.000
2.713 2.713 3.897
P C Ga
4 2 2
Direct
0.547 0.125 0.250 P
0.203 0.625 0.250 P
0.375 0.453 0.750 P
0.875 0.797 0.750 P
0.500 0.500 0.000 C
0.250 0.750 0.500 C
0.000 0.000 0.000 Ga
0.750 0.250 0.500 Ga
```

E above lowest polymorph	0	meV per atom
calculated formation energy	448.1	meV/atom
SG	I-42d

No. 3
This record from Alexandria via LeMat-Bulk describes a geometry-optimized Ga2PC structure. The functional is GGA-PBE.

```
Ga2PC
1.0
0.000 3.048 3.048
3.048 0.000 3.048
3.048 3.048 0.000
P C Ga
1 1 2
Direct
0.500 0.500 0.500 P
0.000 0.000 0.000 C
0.250 0.250 0.250 Ga
0.750 0.750 0.750 Ga
```

E above lowest polymorph	962	meV per atom
calculated formation energy	1248.9	meV/atom
SG	Fm-3m

No. 4
This record from Alexandria via LeMat-Bulk describes a geometry-optimized GaPC3 structure. The functional is GGA-PBE.

```
GaPC3
1.0
-3.534 -1.662 0.841
0.855 -3.050 -2.435
1.655 -1.974 3.054
P C Ga
1 3 1
Direct
0.500 0.500 0.500 P
0.000 0.500 0.000 C
0.000 0.000 0.500 C
0.500 0.000 0.000 C
0.000 0.000 0.000 Ga
```

E above lowest polymorph	980	meV per atom
calculated formation energy	2962.0	meV/atom
SG	Pm-3m

No. 5
This record from Alexandria via LeMat-Bulk describes a geometry-optimized GaPC3 structure. The functional is GGA-PBE.

```
GaPC3
1.0
3.683 0.000 0.000
0.000 3.683 0.000
0.000 0.000 3.683
P C Ga
1 3 1
Direct
0.000 0.000 0.000 P
0.000 0.500 0.000 C
0.000 0.000 0.500 C
0.500 0.000 0.000 C
0.500 0.500 0.500 Ga
```

E above lowest polymorph	0	meV per atom
calculated formation energy	1982.2	meV/atom
SG	Pm-3m

No. 6
This record from Alexandria via LeMat-Bulk describes a geometry-optimized Sr2GaPC structure. The functional is GGA-PBE.

```
Sr2GaPC
1.0
5.740 0.000 0.000
0.000 4.602 0.000
0.000 0.000 5.740
Sr C Ga P
2 1 1 1
Direct
0.000 0.000 0.500 Sr
0.500 0.000 0.000 Sr
0.500 0.500 0.500 C
0.000 0.500 0.000 Ga
0.000 0.000 0.000 P
```

calculated formation energy	686.3	meV/atom
SG	P4/mmm

No. 7
This record from Alexandria via LeMat-Bulk describes a geometry-optimized TaGaP2C structure. The functional is GGA-PBE.

```
TaGaP2C
1.0
4.889 0.000 0.000
0.000 4.162 0.000
0.000 0.000 4.889
P C Ga Ta
2 1 1 1
Direct
0.000 0.000 0.500 P
0.500 0.000 0.000 P
0.000 0.500 0.000 C
0.500 0.500 0.500 Ga
0.000 0.000 0.000 Ta
```

calculated formation energy	784.0	meV/atom
SG	P4/mmm

No. 8
This record from Alexandria via LeMat-Bulk describes a geometry-optimized TiGaPC2 structure. The functional is GGA-PBE.

```
TiGaPC2
1.0
3.939 0.000 0.000
0.000 5.383 0.000
0.000 0.000 3.939
P C Ga Ti
1 2 1 1
Direct
0.500 0.500 0.500 P
0.000 0.000 0.500 C
0.500 0.000 0.000 C
0.000 0.500 0.000 Ga
0.000 0.000 0.000 Ti
```

calculated formation energy	1671.7	meV/atom
SG	P4/mmm

No. 9
This record from Alexandria via LeMat-Bulk describes a geometry-optimized Zn2GaPC structure. The functional is GGA-PBE.

```
Zn2GaPC
1.0
4.582 0.000 0.000
0.000 4.737 0.000
0.000 0.000 4.582
P Zn C Ga
1 2 1 1
Direct
0.000 0.000 0.000 P
0.000 0.000 0.500 Zn
0.500 0.000 0.000 Zn
0.500 0.500 0.500 C
0.000 0.500 0.000 Ga
```

calculated formation energy	1496.5	meV/atom
SG	P4/mmm

No. 10
This record from Alexandria via LeMat-Bulk describes a geometry-optimized Pa7Ga2C2 structure. The functional is GGA-PBE.

```
Pa7Ga2C2
1.0
-2.070 -2.366 0.643
5.773 -6.233 3.656
1.114 -0.661 9.158
Pa Ga C
7 2 2
Direct
0.820 0.085 0.275 Pa
0.845 0.396 0.913 Pa
0.500 0.022 0.978 Pa
0.638 0.447 0.278 Pa
0.362 0.722 0.553 Pa
0.180 0.725 0.915 Pa
0.155 0.087 0.604 Pa
0.000 0.743 0.257 Ga
0.500 0.350 0.650 Ga
0.754 0.884 0.607 C
0.246 0.393 0.116 C
```

calculated formation energy	-81.0	meV/atom
SG	Imm2

No. 11
This record from Alexandria via LeMat-Bulk describes a geometry-optimized PaGaC structure. The functional is GGA-PBE.

```
PaGaC
1.0
5.168 0.000 0.000
0.000 3.320 0.000
0.000 -1.660 2.875
C Pa Ga
1 1 1
Direct
0.971 0.000 0.000 C
0.261 0.667 0.333 Pa
0.769 0.333 0.667 Ga
```

E above lowest polymorph	211	meV per atom
calculated formation energy	38.2	meV/atom
SG	P3m1

No. 12
This record from Alexandria via LeMat-Bulk describes a geometry-optimized PaGaC structure. The functional is GGA-PBE.

```
PaGaC
1.0
3.939 0.000 0.000
1.969 3.411 0.000
1.969 1.137 8.809
Pa C Ga
2 2 2
Direct
0.279 0.279 0.162 Pa
0.721 0.721 0.838 Pa
0.369 0.369 0.894 C
0.631 0.631 0.106 C
0.858 0.858 0.427 Ga
0.142 0.142 0.573 Ga
```

E above lowest polymorph	0	meV per atom
calculated formation energy	-172.6	meV/atom
SG	R-3m